Density functional theory data (PBE-GGA) for a relaxed structure of Sb2AuSI.

Unit cell a=5.2160 b=5.2160 c=5.5141 alpha=90.00 beta=90.00 gamma=90.00
With the nearest neighbours (Å) after each atom.
Sites, in units of the cell vectors:
Sb 0.0000 0.5000 0.0000  2 S 2.61
Sb 0.5000 0.0000 0.0000  2 S 2.61
Au 0.0000 0.0000 0.5000  4 I 3.69, 8 Sb 3.80
S 0.5000 0.5000 0.0000  4 Sb 2.61, 2 I 2.76
I 0.5000 0.5000 0.5000  2 S 2.76

Calculated values
The value obtained for the density of states at the Fermi level is 3.9 states/eV/f.u. The energy above the most stable polymorph in this dataset comes out at 0 kJ/mol of formula units.



Density functional theory data (PBE-GGA) for a relaxed structure of AuSe2S2I2.

Unit cell a=18.8371 b=3.8888 c=7.6182 alpha=90.00 beta=112.13 gamma=90.00
With the nearest neighbours (Å) after each atom.
Sites, in units of the cell vectors:
Au 0.0000 0.0000 0.0000  4 I 2.75
Au 0.5000 0.5000 0.0000  4 I 2.75
Se 0.2089 0.0000 0.6621  2 S 2.28
Se 0.2911 0.5000 0.3379  2 S 2.28
Se 0.7089 0.5000 0.6621  2 S 2.28
Se 0.7911 0.0000 0.3379  2 S 2.28
S 0.2229 0.0000 0.2709  2 Se 2.28
S 0.2771 0.5000 0.7291  2 Se 2.28
S 0.7229 0.5000 0.2709  2 Se 2.28
S 0.7771 0.0000 0.7291  2 Se 2.28
I 0.0023 0.5000 0.7474  2 Au 2.75
I 0.4977 0.0000 0.2526  2 Au 2.75
I 0.5023 0.0000 0.7474  2 Au 2.75
I 0.9977 0.5000 0.2526  2 Au 2.75

Calculated values
The value obtained for the density of states at the Fermi level is 3.2 states/eV/f.u. As for the electronic total energy: -41.19 eV for the cell shown.